No. 1
! Zr4Pb2C GGA-PBE relaxed; values from VASP
! Excess energy over the best structure of this formula in the dataset in eV/atom: 0.000
! Formation energy in meV/atom: -372
&SYSTEM
  ibrav = 0, nat = 7, ntyp = 3
/
ATOMIC_SPECIES
Zr 91.22 Zr.upf
Pb 207.20 Pb.upf
C 12.01 C.upf
ATOMIC_POSITIONS crystal
Zr 0.0000 0.5000 0.5000
Zr 0.1514 0.1514 0.0000
Zr 0.5000 0.0000 0.5000
Zr 0.8486 0.8486 0.0000
Pb 0.3513 0.3513 0.0000
Pb 0.6487 0.6487 0.0000
C 0.0000 0.0000 0.0000
CELL_PARAMETERS angstrom
-2.2467 2.2467 7.7024
2.2467 -2.2467 7.7024
2.2467 2.2467 -7.7024


No. 2
! ZnPS2Cl GGA-PBE relaxed; values from VASP
! Excess energy over the best structure of this formula in the dataset in eV/atom: 0.517
&SYSTEM
  ibrav = 0, nat = 5, ntyp = 4
/
ATOMIC_SPECIES
Zn 65.41 Zn.upf
P 30.97 P.upf
S 32.06 S.upf
Cl 35.45 Cl.upf
ATOMIC_POSITIONS crystal
Zn 0.0000 0.0000 0.0000
P 0.0000 0.0000 0.5000
S 0.0000 0.5000 0.0000
S 0.5000 0.0000 0.0000
Cl 0.5000 0.5000 0.5000
CELL_PARAMETERS angstrom
4.5183 0.0000 0.0000
0.0000 4.5183 0.0000
0.0000 0.0000 5.1541


No. 3
! HfScAg GGA-PBE relaxed; values from VASP
! Excess energy over the best structure of this formula in the dataset in eV/atom: 0.065
! Formation energy in meV/atom: -76
&SYSTEM
  ibrav = 0, nat = 6, ntyp = 3
/
ATOMIC_SPECIES
Hf 178.49 Hf.upf
Sc 44.96 Sc.upf
Ag 107.87 Ag.upf
ATOMIC_POSITIONS crystal
Hf 0.0000 0.0000 0.0000
Hf 0.0000 0.3295 0.3295
Sc 0.5000 0.1986 0.1986
Sc 0.5000 0.8794 0.8794
Ag 0.0000 0.6637 0.6637
Ag 0.5000 0.5418 0.5418
CELL_PARAMETERS angstrom
5.0040 0.0000 0.0000
0.0000 1.5991 7.8471
0.0000 -1.5991 7.8471


No. 4
! FeCoMo2H GGA-PBE relaxed; values from VASP
! Excess energy over the best structure of this formula in the dataset in eV/atom: 0.003
&SYSTEM
  ibrav = 0, nat = 5, ntyp = 4
/
ATOMIC_SPECIES
Fe 55.84 Fe.upf
Co 58.93 Co.upf
Mo 95.94 Mo.upf
H 1.01 H.upf
ATOMIC_POSITIONS crystal
Fe 0.0000 0.0000 0.0000
Co 0.5000 0.5000 0.0000
Mo 0.0000 0.5000 0.5000
Mo 0.5000 0.0000 0.5000
H 0.5000 0.5000 0.5000
CELL_PARAMETERS angstrom
3.8845 0.0000 0.0000
0.0000 3.8845 0.0000
0.0000 0.0000 3.6120


No. 5
! K3NbHg GGA-PBE relaxed; values from VASP
! Excess energy over the best structure of this formula in the dataset in eV/atom: 0.000
! Formation energy in meV/atom: 1012
&SYSTEM
  ibrav = 0, nat = 5, ntyp = 3
/
ATOMIC_SPECIES
K 39.10 K.upf
Nb 92.91 Nb.upf
Hg 200.59 Hg.upf
ATOMIC_POSITIONS crystal
K 0.0000 0.0000 0.5000
K 0.0000 0.5000 0.0000
K 0.5000 0.0000 0.0000
Nb 0.0000 0.0000 0.0000
Hg 0.5000 0.5000 0.5000
CELL_PARAMETERS angstrom
6.8162 0.0000 0.0000
0.0000 6.8162 0.0000
0.0000 0.0000 6.8162


No. 6
! Cs2AgHF6 GGA-PBE relaxed; values from VASP
! Raw total energy in eV/atom: -3.67
&SYSTEM
  ibrav = 0, nat = 20, ntyp = 4
/
ATOMIC_SPECIES
Cs 132.91 Cs.upf
Ag 107.87 Ag.upf
H 1.01 H.upf
F 19.00 F.upf
ATOMIC_POSITIONS crystal
Cs 0.1194 0.1194 0.1194
Cs 0.2776 0.2776 0.2776
Cs 0.7224 0.7224 0.7224
Cs 0.8806 0.8806 0.8806
Ag 0.0000 0.0000 0.0000
Ag 0.5000 0.5000 0.5000
H 0.3658 0.3658 0.3658
H 0.6342 0.6342 0.6342
F 0.1400 0.6302 0.6302
F 0.2298 0.2298 0.6397
F 0.2298 0.6397 0.2298
F 0.3603 0.7702 0.7702
F 0.3698 0.3698 0.8600
F 0.3698 0.8600 0.3698
F 0.6302 0.1400 0.6302
F 0.6302 0.6302 0.1400
F 0.6397 0.2298 0.2298
F 0.7702 0.3603 0.7702
F 0.7702 0.7702 0.3603
F 0.8600 0.3698 0.3698
CELL_PARAMETERS angstrom
2.9598 1.7088 11.5906
-2.9598 1.7088 11.5906
0.0000 -3.4177 11.5906


No. 7
! SmFeCoB2 GGA-PBE relaxed; values from VASP
! Formation energy in meV/atom: -472
&SYSTEM
  ibrav = 0, nat = 5, ntyp = 4
/
ATOMIC_SPECIES
Sm 150.36 Sm.upf
Fe 55.84 Fe.upf
Co 58.93 Co.upf
B 10.81 B.upf
ATOMIC_POSITIONS crystal
Sm 0.0000 0.0000 0.0000
Fe 0.7500 0.2500 0.5000
Co 0.2500 0.7500 0.5000
B 0.3330 0.3330 0.0000
B 0.6670 0.6670 0.0000
CELL_PARAMETERS angstrom
-1.8203 1.8203 4.7772
1.8203 -1.8203 4.7772
1.8203 1.8203 -4.7772


No. 8
! Tb2Pm6PrSm GGA-PBE relaxed; values from VASP
! Formation energy in meV/atom: 116
&SYSTEM
  ibrav = 0, nat = 20, ntyp = 4
/
ATOMIC_SPECIES
Tb 158.93 Tb.upf
Pm 145.00 Pm.upf
Pr 140.91 Pr.upf
Sm 150.36 Sm.upf
ATOMIC_POSITIONS crystal
Tb 0.1955 0.2942 0.0452
Tb 0.2942 0.1955 0.5452
Tb 0.7058 0.8045 0.4548
Tb 0.8045 0.7058 0.9548
Pm 0.0203 0.5681 0.1825
Pm 0.1143 0.7550 0.5558
Pm 0.2450 0.8857 0.9442
Pm 0.2942 0.5083 0.3795
Pm 0.4319 0.9797 0.3175
Pm 0.4917 0.7058 0.1205
Pm 0.5083 0.2942 0.8795
Pm 0.5681 0.0203 0.6825
Pm 0.7058 0.4917 0.6205
Pm 0.7550 0.1143 0.0558
Pm 0.8857 0.2450 0.4442
Pm 0.9797 0.4319 0.8175
Pr 0.4060 0.5940 0.7500
Pr 0.5940 0.4060 0.2500
Sm 0.0273 0.9727 0.2500
Sm 0.9727 0.0273 0.7500
CELL_PARAMETERS angstrom
4.6279 -7.6627 0.0000
4.6279 7.6627 0.0000
-1.3569 0.0000 9.6937


No. 9
! AcSnP2 GGA-PBE relaxed; values from VASP
! Excess energy over the best structure of this formula in the dataset in eV/atom: 0.033
! Formation energy in meV/atom: -503
&SYSTEM
  ibrav = 0, nat = 4, ntyp = 3
/
ATOMIC_SPECIES
Ac 227.00 Ac.upf
Sn 118.71 Sn.upf
P 30.97 P.upf
ATOMIC_POSITIONS crystal
Ac 0.0000 0.0000 0.0000
Sn 0.5000 0.5000 0.0000
P 0.0000 0.5000 0.5000
P 0.5000 0.0000 0.5000
CELL_PARAMETERS angstrom
4.9601 0.0000 0.0000
0.0000 4.9601 0.0000
0.0000 0.0000 3.8672


No. 10
! TlC GGA-PBE relaxed; values from VASP
! Excess energy over the best structure of this formula in the dataset in eV/atom: 1.488
! Formation energy in meV/atom: 2272
&SYSTEM
  ibrav = 0, nat = 4, ntyp = 2
/
ATOMIC_SPECIES
Tl 204.38 Tl.upf
C 12.01 C.upf
ATOMIC_POSITIONS crystal
Tl 0.2500 0.2500 0.1558
Tl 0.7500 0.7500 0.8442
C 0.2500 0.7500 0.0000
C 0.7500 0.2500 0.0000
CELL_PARAMETERS angstrom
4.5065 0.0000 0.0000
0.0000 4.5065 0.0000
0.0000 0.0000 4.3349


No. 11
! Ac3BiIr GGA-PBE relaxed; values from VASP
! Excess energy over the best structure of this formula in the dataset in eV/atom: 0.161
! Formation energy in meV/atom: -573
&SYSTEM
  ibrav = 0, nat = 5, ntyp = 3
/
ATOMIC_SPECIES
Ac 227.00 Ac.upf
Bi 208.98 Bi.upf
Ir 192.22 Ir.upf
ATOMIC_POSITIONS crystal
Ac 0.0000 0.0000 0.5000
Ac 0.0000 0.5000 0.0000
Ac 0.5000 0.0000 0.0000
Bi 0.5000 0.5000 0.5000
Ir 0.0000 0.0000 0.0000
CELL_PARAMETERS angstrom
5.8239 0.0000 0.0000
0.0000 5.8239 0.0000
0.0000 0.0000 5.8239


No. 12
! VRuRh GGA-PBE relaxed; values from VASP
! Excess energy over the best structure of this formula in the dataset in eV/atom: 0.047
! Formation energy in meV/atom: -236
&SYSTEM
  ibrav = 0, nat = 6, ntyp = 3
/
ATOMIC_SPECIES
V 50.94 V.upf
Ru 101.07 Ru.upf
Rh 102.91 Rh.upf
ATOMIC_POSITIONS crystal
V 0.0000 0.0000 0.0000
V 0.6966 0.6966 0.3634
Ru 0.0253 0.0253 0.4887
Ru 0.3511 0.3511 0.1770
Rh 0.3490 0.3490 0.6756
Rh 0.6760 0.6760 0.8626
CELL_PARAMETERS angstrom
4.1663 -1.9213 0.0000
4.1663 1.9213 0.0000
-1.2656 0.0000 5.1962


Number 1: total magnetic moment 0.000 μB/f.u.. Number 2: total magnetic moment 0.171 μB/f.u.. Number 3: total magnetic moment 0.000 μB/f.u.. Number 4: total magnetic moment 0.005 μB/f.u.. Number 5: total magnetic moment 5.971 μB/f.u.. Number 6: total magnetic moment 0.018 μB/f.u.. Number 7: total magnetic moment 0.000 μB/f.u.. Number 8: total magnetic moment 0.000 μB/f.u.. Number 9: total magnetic moment 0.000 μB/f.u.. Number 10: total magnetic moment 0.000 μB/f.u.. Number 11: total magnetic moment 0.000 μB/f.u.. Number 12: total magnetic moment 0.000 μB/f.u..